(1)
First-principles (PBE-GGA) data for crystalline Ac3CeSi7 at its relaxed geometry, as listed in the Alexandria database.

calculated volume	23.90	Å³/atom
calculated density	6.43	g/cm3
Fermi-level density of states	0.764	states/eV/atom
electronic total energy	-5.671	eV/atom
formation energy from raw total energies	-560.4	meV/atom

```
data_Ac3CeSi7
_space_group_name_H-M_alt 'C m c m'
_space_group_IT_number 63
_space_group_name_Hall '-C 2c 2'
_cell_length_a 4.4807
_cell_length_b 19.5669
_cell_length_c 11.9923
_cell_angle_alpha 90.00
_cell_angle_beta 90.00
_cell_angle_gamma 90.00
loop_
_atom_site_label
_atom_site_type_symbol
_atom_site_fract_x
_atom_site_fract_y
_atom_site_fract_z
Ac1 Ac 0.0000 0.1057 0.0498
Ac2 Ac 0.0000 0.2468 0.7500
Ce1 Ce 0.0000 0.0491 0.7500
Si1 Si 0.0000 0.2690 0.0299
Si2 Si 0.0000 0.3652 0.1500
Si3 Si 0.0000 0.4294 0.7500
Si4 Si 0.0000 0.4868 0.0968
```


(2)
First-principles (PBE-GGA) data for crystalline Ac3CeSi3 at its relaxed geometry, as listed in the Alexandria database.

calculated volume	32.93	Å³/atom
calculated density	6.52	g/cm3
Fermi-level density of states	0.905	states/eV/atom
electronic total energy	-5.253	eV/atom
formation energy from raw total energies	-320.1	meV/atom

```
data_Ac3CeSi3
_space_group_name_H-M_alt 'C 1 2/m 1'
_space_group_IT_number 12
_space_group_name_Hall '-C 2y'
_cell_length_a 8.6623
_cell_length_b 13.1991
_cell_length_c 8.1002
_cell_angle_alpha 90.00
_cell_angle_beta 95.43
_cell_angle_gamma 90.00
loop_
_atom_site_label
_atom_site_type_symbol
_atom_site_fract_x
_atom_site_fract_y
_atom_site_fract_z
Ac1 Ac 0.0000 0.1670 0.0000
Ac2 Ac 0.0000 0.2311 0.5000
Ac3 Ac 0.1205 0.5000 0.8485
Ce1 Ce 0.2337 0.0000 0.6004
Si1 Si 0.0611 0.0000 0.2854
Si2 Si 0.1840 0.3320 0.2047
```


(3)
First-principles (PBE-GGA) data for crystalline Ac2CeSi2 at its relaxed geometry, as listed in the Alexandria database.

calculated volume	29.59	Å³/atom
calculated density	7.30	g/cm3
Fermi-level density of states	1.665	states/eV/atom
electronic total energy	-5.470	eV/atom
formation energy from raw total energies	-470.9	meV/atom

```
data_Ac2CeSi2
_space_group_name_H-M_alt 'I m m m'
_space_group_IT_number 71
_space_group_name_Hall '-I 2 2'
_cell_length_a 4.4909
_cell_length_b 6.5460
_cell_length_c 10.0663
_cell_angle_alpha 90.00
_cell_angle_beta 90.00
_cell_angle_gamma 90.00
loop_
_atom_site_label
_atom_site_type_symbol
_atom_site_fract_x
_atom_site_fract_y
_atom_site_fract_z
Ac1 Ac 0.0000 0.0000 0.2038
Ce1 Ce 0.0000 0.5000 0.0000
Si1 Si 0.0000 0.3052 0.5000
```


(4)
First-principles (PBE-GGA) data for crystalline Ac3CeSi4 at its relaxed geometry, as listed in the Alexandria database.

calculated volume	30.95	Å³/atom
calculated density	6.26	g/cm3
Fermi-level density of states	1.301	states/eV/atom
electronic total energy	-5.438	eV/atom
formation energy from raw total energies	-444.1	meV/atom

```
data_Ac3CeSi4
_space_group_name_H-M_alt 'I m m m'
_space_group_IT_number 71
_space_group_name_Hall '-I 2 2'
_cell_length_a 4.6189
_cell_length_b 6.4872
_cell_length_c 16.5273
_cell_angle_alpha 90.00
_cell_angle_beta 90.00
_cell_angle_gamma 90.00
loop_
_atom_site_label
_atom_site_type_symbol
_atom_site_fract_x
_atom_site_fract_y
_atom_site_fract_z
Ac1 Ac 0.0000 0.0000 0.0000
Ac2 Ac 0.0000 0.5000 0.1906
Ce1 Ce 0.0000 0.0000 0.5000
Si1 Si 0.0000 0.3170 0.3745
```


(5)
First-principles (PBE-GGA) data for crystalline Ac2Ce3Si4 at its relaxed geometry, as listed in the Alexandria database.

calculated volume	26.87	Å³/atom
calculated density	6.78	g/cm3
Fermi-level density of states	1.962	states/eV/atom
electronic total energy	-5.893	eV/atom
formation energy from raw total energies	-591.6	meV/atom

```
data_Ac2Ce3Si4
_space_group_name_H-M_alt 'P 1 21/c 1'
_space_group_IT_number 14
_space_group_name_Hall '-P 2ybc'
_cell_length_a 8.0016
_cell_length_b 8.0343
_cell_length_c 7.8555
_cell_angle_alpha 90.00
_cell_angle_beta 106.72
_cell_angle_gamma 90.00
loop_
_atom_site_label
_atom_site_type_symbol
_atom_site_fract_x
_atom_site_fract_y
_atom_site_fract_z
Ac1 Ac 0.1982 0.1761 0.0825
Ce1 Ce 0.2489 0.6854 0.2535
Ce2 Ce 0.5000 0.0000 0.5000
Si1 Si 0.0787 0.5302 0.8880
Si2 Si 0.4959 0.1129 0.8800
```


(6)
First-principles (PBE-GGA) data for crystalline AcCe2Si at its relaxed geometry, as listed in the Alexandria database.

calculated volume	29.18	Å³/atom
excess energy over the best structure of this formula in the dataset	0.00	eV/f.u.
calculated density	7.62	g/cm3
Fermi-level density of states	2.566	states/eV/atom
electronic total energy	-5.607	eV/atom
formation energy from raw total energies	-256.8	meV/atom

```
data_AcCe2Si
_space_group_name_H-M_alt 'P 4/m m m'
_space_group_IT_number 123
_space_group_name_Hall '-P 4 2'
_cell_length_a 3.8519
_cell_length_b 3.8519
_cell_length_c 7.8671
_cell_angle_alpha 90.00
_cell_angle_beta 90.00
_cell_angle_gamma 90.00
loop_
_atom_site_label
_atom_site_type_symbol
_atom_site_fract_x
_atom_site_fract_y
_atom_site_fract_z
Ac1 Ac 0.0000 0.0000 0.0000
Ce1 Ce 0.5000 0.5000 0.3261
Si1 Si 0.0000 0.0000 0.5000
```


(7)
First-principles (PBE-GGA) data for crystalline AcCeSi4 at its relaxed geometry, as listed in the Alexandria database.

calculated volume	19.85	Å³/atom
excess energy over the best structure of this formula in the dataset	1.15	eV/f.u.
calculated density	6.68	g/cm3
Fermi-level density of states	0.740	states/eV/atom
electronic total energy	-5.578	eV/atom
formation energy from raw total energies	-288.5	meV/atom

```
data_AcCeSi4
_space_group_name_H-M_alt 'F -4 3 m'
_space_group_IT_number 216
_space_group_name_Hall 'F -4 2 3'
_cell_length_a 7.8107
_cell_length_b 7.8107
_cell_length_c 7.8107
_cell_angle_alpha 90.00
_cell_angle_beta 90.00
_cell_angle_gamma 90.00
loop_
_atom_site_label
_atom_site_type_symbol
_atom_site_fract_x
_atom_site_fract_y
_atom_site_fract_z
Ac1 Ac 0.0000 0.0000 0.0000
Ce1 Ce 0.2500 0.2500 0.7500
Si1 Si 0.1206 0.1206 0.3794
```


(8)
First-principles (PBE-GGA) data for crystalline AcCeSi at its relaxed geometry, as listed in the Alexandria database.

calculated volume	31.85	Å³/atom
excess energy over the best structure of this formula in the dataset	0.68	eV/f.u.
calculated density	6.87	g/cm3
Fermi-level density of states	3.015	states/eV/atom
electronic total energy	-5.391	eV/atom
formation energy from raw total energies	-236.1	meV/atom

```
data_AcCeSi
_space_group_name_H-M_alt 'F -4 3 m'
_space_group_IT_number 216
_space_group_name_Hall 'F -4 2 3'
_cell_length_a 7.2572
_cell_length_b 7.2572
_cell_length_c 7.2572
_cell_angle_alpha 90.00
_cell_angle_beta 90.00
_cell_angle_gamma 90.00
loop_
_atom_site_label
_atom_site_type_symbol
_atom_site_fract_x
_atom_site_fract_y
_atom_site_fract_z
Ac1 Ac 0.0000 0.0000 0.0000
Ce1 Ce 0.0000 0.0000 0.5000
Si1 Si 0.2500 0.2500 0.7500
```


(9)
First-principles (PBE-GGA) data for crystalline AcCe2Si at its relaxed geometry, as listed in the Alexandria database.

calculated volume	27.35	Å³/atom
excess energy over the best structure of this formula in the dataset	0.45	eV/f.u.
calculated density	8.13	g/cm3
Fermi-level density of states	2.459	states/eV/atom
electronic total energy	-5.495	eV/atom
formation energy from raw total energies	-144.8	meV/atom

```
data_AcCe2Si
_space_group_name_H-M_alt 'P 4/m m m'
_space_group_IT_number 123
_space_group_name_Hall '-P 4 2'
_cell_length_a 4.7319
_cell_length_b 4.7319
_cell_length_c 4.8854
_cell_angle_alpha 90.00
_cell_angle_beta 90.00
_cell_angle_gamma 90.00
loop_
_atom_site_label
_atom_site_type_symbol
_atom_site_fract_x
_atom_site_fract_y
_atom_site_fract_z
Ac1 Ac 0.0000 0.0000 0.0000
Ce1 Ce 0.0000 0.5000 0.5000
Si1 Si 0.5000 0.5000 0.0000
```


(10)
First-principles (PBE-GGA) data for crystalline AcCe4Si4 at its relaxed geometry, as listed in the Alexandria database.

calculated volume	27.56	Å³/atom
calculated density	6.02	g/cm3
Fermi-level density of states	2.168	states/eV/atom
electronic total energy	-5.838	eV/atom
formation energy from raw total energies	-333.8	meV/atom

```
data_AcCe4Si4
_space_group_name_H-M_alt 'P 42/n'
_space_group_IT_number 86
_cell_length_a 9.0994
_cell_length_b 9.0994
_cell_length_c 5.9920
_cell_angle_alpha 90.00
_cell_angle_beta 90.00
_cell_angle_gamma 90.00
loop_
_space_group_symop_operation_xyz
'x,y,z'
'-x,-y,-z'
'-y,x+1/2,z+1/2'
'y,-x+1/2,-z+1/2'
'-x+1/2,-y+1/2,z'
'x+1/2,y+1/2,-z'
'y+1/2,-x,z+1/2'
'-y+1/2,x,-z+1/2'
loop_
_atom_site_label
_atom_site_type_symbol
_atom_site_fract_x
_atom_site_fract_y
_atom_site_fract_z
Ac1 Ac 0.2500 0.2500 0.2500
Ce1 Ce 0.0741 0.6236 0.0898
Si1 Si 0.0510 0.6044 0.5952
```


(11)
First-principles (PBE-GGA) data for crystalline AcCeSi at its relaxed geometry, as listed in the Alexandria database.

calculated volume	29.55	Å³/atom
excess energy over the best structure of this formula in the dataset	0.85	eV/f.u.
calculated density	7.40	g/cm3
Fermi-level density of states	2.168	states/eV/atom
electronic total energy	-5.332	eV/atom
formation energy from raw total energies	-176.9	meV/atom

```
data_AcCeSi
_space_group_name_H-M_alt 'P 3 m 1'
_space_group_IT_number 156
_space_group_name_Hall 'P 3 -2"'
_cell_length_a 4.7857
_cell_length_b 4.7857
_cell_length_c 4.4697
_cell_angle_alpha 90.00
_cell_angle_beta 90.00
_cell_angle_gamma 120.00
loop_
_atom_site_label
_atom_site_type_symbol
_atom_site_fract_x
_atom_site_fract_y
_atom_site_fract_z
Ac1 Ac 0.0000 0.0000 0.0000
Ce1 Ce 0.3333 0.6667 0.5608
Si1 Si 0.6667 0.3333 0.3679
```